No. 1
RbBrN2: relaxed, PBE.

The structure belongs to space group I-42d (No. 122); the cell edges are 6.380, 6.380 and 8.099 Å and the angles 90.00°, 90.00° and 90.00°. The distinct sites, in fractional coordinates, are Rb at (0.000, 0.000, 0.000), Br at (0.000, 0.000, 0.500) and N at (0.113, 0.750, 0.625).

The density of states at the Fermi level is 0.00 states/eV/cell. As for the offset from the most stable computed form: 2343.6 meV/atom. The formation energy without anion corrections is 1.532 eV/atom.



No. 2
In2CuAs: relaxed, PBE.

The structure belongs to space group I-4m2 (No. 119); the cell edges are 4.107, 4.107 and 9.990 Å and the angles 90.00°, 90.00° and 90.00°. The distinct sites, in fractional coordinates, are In at (0.000, 0.000, 0.000), In at (0.000, 0.500, 0.250), Cu at (0.000, 0.000, 0.500) and As at (0.000, 0.500, 0.750).

As for the formation energy: 0.2276 eV per atom. The density of states at the Fermi level is 2.92 states/eV/cell.